1.
BeFeAs2: PBEsol geometry, meta-GGA SCAN.

## Properties
Total magnetic moment, μB per cell: 1.54
N(E_F), states/eV per cell: 1.6
Space group: Imm2 (44)
Formation energy from the elements, kJ per mole of atoms: 13.5

Cell lengths 2.9029, 3.4910, 6.1798 Å; angles 106.41, 103.58, 90.00 degrees
Closest atoms and distances in Å follow each position.
Fractional positions:
1 Be 0.5581 0.5581 0.1163  2 Fe 2.22, 4 As 2.35
2 As 0.0057 0.0057 0.0114  4 Be 2.35, 2 Fe 2.44
3 As 0.2593 0.7593 0.5187  4 Fe 2.46, 2 Be 2.73
4 Fe 0.6768 0.1768 0.3536  2 Be 2.22, 6 As 2.44-2.46


2.
ScB2Pb: PBEsol geometry, meta-GGA SCAN.

## Properties
Total magnetic moment, μB per cell: 0.00
N(E_F), states/eV per cell: 4.4
Space group: I-42d (122)
Formation energy from the elements, kJ per mole of atoms: 80.0

Cell lengths 5.5077, 5.5077, 5.5077 Å; angles 71.06, 71.06, 110.54 degrees
Closest atoms and distances in Å follow each position.
Fractional positions:
1 Pb 0.0000 0.0000 0.0000  4 B 2.37
2 Pb 0.7500 0.2500 0.5000  4 B 2.37
3 Sc 0.5000 0.5000 0.0000  4 B 2.42
4 Sc 0.2500 0.7500 0.5000  4 B 2.42
5 B 0.3750 0.3682 0.5068  2 Pb 2.37, 2 Sc 2.42
6 B 0.8750 0.8818 0.4932  2 Pb 2.37, 2 Sc 2.42
7 B 0.1182 0.6250 0.0068  2 Pb 2.37, 2 Sc 2.42
8 B 0.6318 0.1250 0.9932  2 Pb 2.37, 2 Sc 2.42


3.
Ca2InPt2: PBEsol geometry, meta-GGA SCAN.

## Properties
Total magnetic moment, μB per cell: 0.00
N(E_F), states/eV per cell: 3.5
Space group: C2/c (15)
Formation energy from the elements, kJ per mole of atoms: -101.4

Cell lengths 5.6283, 5.7288, 8.1008 Å; angles 102.87, 90.00, 119.42 degrees
Closest atoms and distances in Å follow each position.
Fractional positions:
1 Ca 0.5001 0.7026 0.3509  6 Pt 2.99-3.18, 1 In 3.34
2 Ca 0.7975 0.2974 0.1491  6 Pt 2.99-3.18, 1 In 3.34
3 Ca 0.4999 0.2974 0.6491  6 Pt 2.99-3.18, 1 In 3.34
4 Ca 0.2025 0.7026 0.8509  6 Pt 2.99-3.18, 1 In 3.34
5 In 0.1558 0.0000 0.2500  4 Pt 2.69-2.71
6 In 0.8442 0.0000 0.7500  4 Pt 2.69-2.71
7 Pt 0.7250 0.7278 0.9972  1 Pt 2.61, 2 In 2.69-2.71
8 Pt 0.9972 0.2722 0.5028  1 Pt 2.61, 2 In 2.69-2.71
9 Pt 0.2750 0.2722 0.0028  1 Pt 2.61, 2 In 2.69-2.71
10 Pt 0.0028 0.7278 0.4972  1 Pt 2.61, 2 In 2.69-2.71


4.
Cs2Si2Se5: PBEsol geometry, meta-GGA SCAN.

## Properties
ΔE_f (raw), eV per formula unit: -8.9
Total magnetic moment, μB per cell: 0.00
N(E_F), states/eV per cell: 0.0
Space group: C2/c (15)

Cell lengths 9.6710, 11.5254, 11.5254 Å; angles 89.91, 99.32, 99.32 degrees
Closest atoms and distances in Å follow each position.
Fractional positions:
1 Cs 0.3688 0.2934 0.0192  7 Se 3.56-3.97
2 Cs 0.1312 0.9808 0.7066  7 Se 3.56-3.97
3 Cs 0.6312 0.7066 0.9808  7 Se 3.56-3.97
4 Cs 0.8688 0.0192 0.2934  7 Se 3.56-3.97
5 Cs 0.8766 0.4493 0.2918  5 Se 3.53-3.80
6 Cs 0.6234 0.7082 0.5507  5 Se 3.53-3.80
7 Cs 0.1234 0.5507 0.7082  5 Se 3.53-3.80
8 Cs 0.3766 0.2918 0.4493  5 Se 3.53-3.80
9 Si 0.3835 0.6394 0.2312  4 Se 2.19-2.32
10 Si 0.1165 0.7688 0.3606  4 Se 2.19-2.32
11 Si 0.6165 0.3606 0.7688  4 Se 2.19-2.32
12 Si 0.8835 0.2312 0.6394  4 Se 2.19-2.32
13 Si 0.8902 0.2320 0.9666  4 Se 2.19-2.32
14 Si 0.6098 0.0334 0.7680  4 Se 2.19-2.32
15 Si 0.1098 0.7680 0.0334  4 Se 2.19-2.32
16 Si 0.3902 0.9666 0.2320  4 Se 2.19-2.32
17 Se 0.0334 0.2530 0.1352  1 Si 2.19
18 Se 0.4666 0.8648 0.7470  1 Si 2.19
19 Se 0.9666 0.7470 0.8648  1 Si 2.19
20 Se 0.5334 0.1352 0.2530  1 Si 2.19
21 Se 0.5252 0.5075 0.2534  1 Si 2.19
22 Se 0.9748 0.7466 0.4925  1 Si 2.19
23 Se 0.4748 0.4925 0.7466  1 Si 2.19
24 Se 0.0252 0.2534 0.5075  1 Si 2.19
25 Se 0.7570 0.3834 0.9505  2 Si 2.29-2.32
26 Se 0.7430 0.0495 0.6166  2 Si 2.29-2.32
27 Se 0.2430 0.6166 0.0495  2 Si 2.29-2.32
28 Se 0.2570 0.9505 0.3834  2 Si 2.29-2.32
29 Se 0.0297 0.2526 0.8198  2 Si 2.31-2.32
30 Se 0.4703 0.1802 0.7474  2 Si 2.31-2.32
31 Se 0.9703 0.7474 0.1802  2 Si 2.31-2.32
32 Se 0.5297 0.8198 0.2526  2 Si 2.31-2.32
33 Se 0.7500 0.0496 0.9504  2 Si 2.30
34 Se 0.2500 0.9504 0.0496  2 Si 2.30
35 Se 0.2500 0.6181 0.3819  2 Si 2.32
36 Se 0.7500 0.3819 0.6181  2 Si 2.32


5.
BaSr2Ge2: PBEsol geometry, meta-GGA SCAN.

## Properties
Total magnetic moment, μB per cell: 0.00
N(E_F), states/eV per cell: 2.1
Space group: I4/mmm (139)
Formation energy from the elements, kJ per mole of atoms: -21.4

Cell lengths 5.6816, 5.6816, 6.9608 Å; angles 114.09, 114.09, 90.00 degrees
Closest atoms and distances in Å follow each position.
Fractional positions:
1 Sr 0.3388 0.3388 0.6777  4 Ge 3.02
2 Sr 0.6612 0.6612 0.3223  4 Ge 3.02
3 Ge 0.2500 0.7500 0.5000  4 Sr 3.02
4 Ge 0.7500 0.2500 0.5000  4 Sr 3.02
5 Ba 0.0000 0.0000 0.0000  2 Sr 3.85, 8 Ge 4.02


6.
H2PdS4O14: PBEsol geometry, meta-GGA SCAN.

## Properties
Total magnetic moment, μB per cell: 4.00
N(E_F), states/eV per cell: 0.0
Space group: P2_1/c (14)
DFT total energy, eV/atom: -9.12

Cell lengths 6.8536, 9.3208, 9.1965 Å; angles 115.90, 90.00, 90.00 degrees
Closest atoms and distances in Å follow each position.
Fractional positions:
1 H 0.7093 0.9368 0.5165  1 O 1.05
2 H 0.2093 0.5632 0.4835  1 O 1.05
3 H 0.2907 0.0632 0.4835  1 O 1.05
4 H 0.7907 0.4368 0.5165  1 O 1.05
5 Pd 0.0000 0.0000 0.0000  6 O 2.19-2.21
6 Pd 0.5000 0.5000 0.0000  6 O 2.19-2.21
7 S 0.3260 0.1233 0.8023  3 O 1.45-1.46
8 S 0.8260 0.3767 0.1977  3 O 1.45-1.46
9 S 0.6740 0.8767 0.1977  3 O 1.45-1.46
10 S 0.1740 0.6233 0.8023  3 O 1.45-1.46
11 S 0.6393 0.8954 0.7249  3 O 1.42-1.52
12 S 0.1393 0.6046 0.2751  3 O 1.42-1.52
13 S 0.3607 0.1046 0.2751  3 O 1.42-1.52
14 S 0.8607 0.3954 0.7249  3 O 1.42-1.52
15 O 0.1565 0.0298 0.8042  1 S 1.46
16 O 0.6565 0.4702 0.1958  1 S 1.46
17 O 0.8435 0.9702 0.1958  1 S 1.46
18 O 0.3435 0.5298 0.8042  1 S 1.46
19 O 0.3759 0.1093 0.6438  1 S 1.45, 1 H 1.46
20 O 0.8759 0.3907 0.3562  1 S 1.45, 1 H 1.46
21 O 0.6241 0.8907 0.3562  1 S 1.45, 1 H 1.46
22 O 0.1241 0.6093 0.6438  1 S 1.45, 1 H 1.46
23 O 0.3256 0.2837 0.9333  1 S 1.45
24 O 0.8256 0.2163 0.0667  1 S 1.45
25 O 0.6744 0.7163 0.0667  1 S 1.45
26 O 0.1744 0.7837 0.9333  1 S 1.45
27 O 0.7585 0.9678 0.6341  1 H 1.05
28 O 0.2585 0.5322 0.3659  1 H 1.05
29 O 0.2415 0.0322 0.3659  1 H 1.05
30 O 0.7415 0.4678 0.6341  1 H 1.05
31 O 0.5103 0.7722 0.6248  1 S 1.42
32 O 0.0103 0.7278 0.3752  1 S 1.42
33 O 0.4897 0.2278 0.3752  1 S 1.42
34 O 0.9897 0.2722 0.6248  1 S 1.42
35 O 0.7693 0.8633 0.8314  1 S 1.45
36 O 0.2693 0.6367 0.1686  1 S 1.45
37 O 0.2307 0.1367 0.1686  1 S 1.45
38 O 0.7307 0.3633 0.8314  1 S 1.45
39 O 0.5148 0.0448 0.8546  2 S 1.62-1.66
40 O 0.0148 0.4552 0.1454  2 S 1.62-1.66
41 O 0.4852 0.9552 0.1454  2 S 1.62-1.66
42 O 0.9852 0.5448 0.8546  2 S 1.62-1.66


7.
Tl2FeMo: PBEsol geometry, meta-GGA SCAN.

## Properties
Total magnetic moment, μB per cell: 2.91
N(E_F), states/eV per cell: 2.7
Space group: Cm (8)
Formation energy from the elements, kJ per mole of atoms: 63.1

Cell lengths 3.0213, 4.8851, 5.9726 Å; angles 118.95, 104.65, 90.00 degrees
Closest atoms and distances in Å follow each position.
Fractional positions:
1 Fe 0.5370 0.5924 0.0740  2 Mo 2.45
2 Mo 0.2168 0.6620 0.4336  2 Fe 2.45
3 Tl 0.9813 0.0213 0.9625  4 Fe 2.90-2.95, 3 Mo 2.95-3.06, 3 Tl 3.02-3.12
4 Tl 0.7649 0.2244 0.5298  3 Fe 2.89-3.12, 4 Mo 2.89-2.93, 3 Tl 3.02-3.12


8.
Ba4DyCu3O9: PBEsol geometry, meta-GGA SCAN.

## Properties
ΔE_f (raw), eV per formula unit: -38.7
Total magnetic moment, μB per cell: 0.00
N(E_F), states/eV per cell: 5.7
Space group: Pm-3n (223)

Cell lengths 8.0306, 8.0306, 8.0306 Å; angles 90.00, 90.00, 90.00 degrees
Closest atoms and distances in Å follow each position.
Fractional positions:
1 Ba 0.2500 0.2500 0.2500  9 O 2.84-2.85
2 Ba 0.7500 0.7500 0.7500  9 O 2.84-2.85
3 Ba 0.7500 0.7500 0.2500  9 O 2.84-2.85
4 Ba 0.7500 0.2500 0.7500  9 O 2.84-2.85
5 Ba 0.2500 0.2500 0.7500  9 O 2.84-2.85
6 Ba 0.2500 0.7500 0.2500  9 O 2.84-2.85
7 Ba 0.2500 0.7500 0.7500  9 O 2.84-2.85
8 Ba 0.7500 0.2500 0.2500  9 O 2.84-2.85
9 Dy 0.0000 0.0000 0.0000  6 O 2.19
10 Dy 0.5000 0.5000 0.5000  6 O 2.19
11 Cu 0.0000 0.5000 0.5000  4 O 1.82-2.01
12 Cu 0.5000 0.0000 0.5000  4 O 1.82-2.01
13 Cu 0.0000 0.5000 0.0000  4 O 1.82-2.01
14 Cu 0.5000 0.5000 0.0000  4 O 1.82-2.01
15 Cu 0.5000 0.0000 0.0000  4 O 1.82-2.01
16 Cu 0.0000 0.0000 0.5000  4 O 1.82-2.01
17 O 0.2733 0.0000 0.0000  1 Cu 1.82
18 O 0.7267 0.0000 0.0000  1 Cu 1.82
19 O 0.0000 0.2733 0.0000  1 Cu 1.82
20 O 0.5000 0.7733 0.5000  1 Cu 1.82
21 O 0.0000 0.7267 0.0000  1 Cu 1.82
22 O 0.5000 0.2267 0.5000  1 Cu 1.82
23 O 0.0000 0.0000 0.2733  1 Cu 1.82
24 O 0.7733 0.5000 0.5000  1 Cu 1.82
25 O 0.0000 0.0000 0.7267  1 Cu 1.82
26 O 0.2267 0.5000 0.5000  1 Cu 1.82
27 O 0.5000 0.5000 0.7733  1 Cu 1.82
28 O 0.5000 0.5000 0.2267  1 Cu 1.82
29 O 0.2500 0.0000 0.5000  2 Cu 2.01
30 O 0.7500 0.0000 0.5000  2 Cu 2.01
31 O 0.5000 0.2500 0.0000  2 Cu 2.01
32 O 0.5000 0.7500 0.0000  2 Cu 2.01
33 O 0.0000 0.5000 0.2500  2 Cu 2.01
34 O 0.0000 0.5000 0.7500  2 Cu 2.01


9.
CsBaSi2Hg: PBEsol geometry, meta-GGA SCAN.

## Properties
ΔE_f (raw), eV per formula unit: 5.1
Total magnetic moment, μB per cell: 0.00
N(E_F), states/eV per cell: 4.1
Space group: P4/mmm (123)

Cell lengths 5.6474, 5.6474, 6.9475 Å; angles 90.00, 90.00, 90.00 degrees
Closest atoms and distances in Å follow each position.
Fractional positions:
1 Cs 0.0000 0.0000 0.5000  2 Ba 3.47
2 Si 0.0000 0.5000 0.0000  2 Ba 2.82
3 Si 0.5000 0.0000 0.0000  2 Ba 2.82
4 Hg 0.5000 0.5000 0.5000  4 Cs 3.99
5 Ba 0.0000 0.0000 0.0000  4 Si 2.82


10.
MoRh2: PBEsol geometry, meta-GGA SCAN.

## Properties
Total magnetic moment, μB per cell: 0.00
N(E_F), states/eV per cell: 7.3
Space group: I4_1/amd (141)
Formation energy from the elements, kJ per mole of atoms: -19.5

Cell lengths 3.8285, 3.8285, 11.7348 Å; angles 99.39, 99.39, 90.00 degrees
Closest atoms and distances in Å follow each position.
Fractional positions:
1 Mo 0.9166 0.9166 0.8332  10 Rh 2.68-2.72, 2 Mo 2.70
2 Mo 0.0834 0.0834 0.1668  10 Rh 2.68-2.72, 2 Mo 2.70
3 Mo 0.1666 0.6666 0.3332  10 Rh 2.68-2.72, 2 Mo 2.70
4 Mo 0.3334 0.8334 0.6668  10 Rh 2.68-2.72, 2 Mo 2.70
5 Rh 0.7487 0.7487 0.4974  8 Rh 2.68-2.72, 4 Mo 2.68-2.72
6 Rh 0.2513 0.2513 0.5026  8 Rh 2.68-2.72, 4 Mo 2.68-2.72
7 Rh 0.9987 0.4987 0.9974  8 Rh 2.68-2.72, 4 Mo 2.68-2.72
8 Rh 0.5013 0.0013 0.0026  8 Rh 2.68-2.72, 4 Mo 2.68-2.72
9 Rh 0.5832 0.5832 0.1664  6 Rh 2.68-2.72, 6 Mo 2.70-2.71
10 Rh 0.4168 0.4168 0.8336  6 Rh 2.68-2.72, 6 Mo 2.70-2.71
11 Rh 0.8332 0.3332 0.6664  6 Rh 2.68-2.72, 6 Mo 2.70-2.71
12 Rh 0.6668 0.1668 0.3336  6 Rh 2.68-2.72, 6 Mo 2.70-2.71


11.
KBaTl2: PBEsol geometry, meta-GGA SCAN.

## Properties
Total magnetic moment, μB per cell: 0.00
N(E_F), states/eV per cell: 2.1
Space group: Cm (8)
Formation energy from the elements, kJ per mole of atoms: -34.0

Cell lengths 4.1199, 5.8999, 6.9192 Å; angles 114.95, 107.32, 90.00 degrees
Closest atoms and distances in Å follow each position.
Fractional positions:
1 K 0.2725 0.7736 0.5449  7 Tl 3.64-4.06, 2 Ba 3.77
2 Tl 0.0337 0.0319 0.0673  2 Tl 3.05
3 Tl 0.7235 0.2248 0.4469  2 Tl 3.05
4 Ba 0.4704 0.4696 0.9408  6 Tl 3.58-3.68, 2 K 3.77


Q: What is the total magnetic moment in the first record?
A: 1.54 μB per cell


Q: The highest N(E_F) belongs to which entry?
A: MoRh2


Q: Among the records above, which one has the highest N(E_F)?
A: MoRh2